! NaYP2O8 PBE optimized geometry; values from VASP
&SYSTEM
  ibrav = 0, nat = 12, ntyp = 4
/
ATOMIC_SPECIES
Na 22.99 Na.upf
Y 88.91 Y.upf
P 30.97 P.upf
O 16.00 O.upf
ATOMIC_POSITIONS crystal
Na 0.0000 0.0000 0.0000
Y 0.7500 0.2500 0.5000
P 0.2500 0.7500 0.5000
P 0.5000 0.5000 0.0000
O 0.0945 0.4213 0.3268
O 0.0945 0.7677 0.6732
O 0.1746 0.3537 0.8208
O 0.2324 0.9055 0.3268
O 0.5329 0.3537 0.1792
O 0.5787 0.9055 0.6732
O 0.6463 0.4671 0.8208
O 0.6463 0.8254 0.1792
CELL_PARAMETERS angstrom
-3.5063 3.5063 3.0861
3.5063 -3.5063 3.0861
3.5063 3.5063 -3.0861
! Space-group type ... No. 119
! Formation energy (no corrections) ... -27.01 eV per formula unit
! DOS at the Fermi energy ... 7.24 states/eV/f.u.